Record 1
{
  "formula": "Ba5NCl5",
  "functional": "PBE",
  "state": "relaxed",
  "cell": [[6.260, 0.000, 0.000], [-3.130, 6.989, -0.111], [0.000, -2.747, 8.413]],
  "species": ["Ba", "Cl", "Ba", "N", "Cl", "Ba", "Cl", "Cl", "Cl", "Ba", "Ba"],
  "frac_coords": [[0.147, 0.294, 0.295], [0.323, 0.646, 0.665], [0.149, 0.297, 0.854], [0.000, 0.000, 0.000], [0.663, 0.326, 0.824], [0.851, 0.703, 0.146], [0.000, 0.000, 0.500], [0.337, 0.674, 0.176], [0.677, 0.354, 0.335], [0.853, 0.706, 0.705], [0.500, 0.000, 0.000]],
  "formation_energy_uncorrected_ev_per_atom": -1.7661,
  "sg": "C2/m (12)"
}

***

Record 2
{
  "formula": "BaCa2Be",
  "functional": "PBE",
  "state": "relaxed",
  "cell": [[3.732, 0.000, 0.000], [0.000, 3.731, -0.006], [0.000, 3.778, 10.151]],
  "species": ["Be", "Ba", "Ca", "Ca"],
  "frac_coords": [[0.500, 0.750, 0.750], [0.500, 0.250, 0.250], [0.000, 0.416, 0.584], [0.000, 0.084, 0.916]],
  "sg": "P2/m (10)",
  "e_form_ev_per_atom": 0.268
}

***

Record 3
{
  "formula": "Zr2NbBi",
  "functional": "PBE",
  "state": "relaxed",
  "cell": [[4.278, 0.000, 0.000], [0.000, 4.278, 0.000], [2.139, 2.139, 10.459]],
  "species": ["Zr", "Zr", "Nb", "Zr", "Bi", "Nb", "Bi", "Zr"],
  "frac_coords": [[0.375, 0.377, 0.750], [0.127, 0.625, 0.250], [0.250, 0.750, 0.500], [0.623, 0.125, 0.250], [0.000, 0.000, 0.000], [0.500, 0.500, 0.000], [0.750, 0.250, 0.500], [0.875, 0.873, 0.750]],
  "sg": "I-42d (122)",
  "e_form_ev_per_atom": 0.460
}

***

Record 4
{
  "formula": "GaHPd3",
  "functional": "PBE",
  "state": "relaxed",
  "cell": [[3.259, 0.000, 4.574], [-1.630, 2.822, 4.574], [-1.630, -2.822, 4.574]],
  "species": ["Pd", "Pd", "Pd", "Ga", "Pd", "Pd", "Pd", "Ga", "H", "H"],
  "frac_coords": [[0.785, 0.707, 0.246], [0.746, 0.207, 0.285], [0.246, 0.785, 0.707], [0.246, 0.246, 0.246], [0.207, 0.285, 0.746], [0.707, 0.246, 0.785], [0.285, 0.746, 0.207], [0.746, 0.746, 0.746], [0.496, 0.496, 0.496], [0.996, 0.996, 0.996]],
  "sg": "R-3c (167)",
  "e_above_lowest_polymorph_mev_per_atom": 2
}

***

Record 5
{
  "formula": "ScGeSeS",
  "functional": "PBE",
  "state": "relaxed",
  "cell": [[3.496, 0.000, 0.000], [0.000, 3.627, 0.000], [0.000, 0.000, 12.960]],
  "species": ["Se", "Sc", "S", "Ge", "Ge", "Sc", "S", "Se"],
  "frac_coords": [[0.500, 0.500, 0.879], [0.000, 0.000, 0.205], [0.500, 0.000, 0.653], [0.000, 0.000, 0.956], [0.000, 0.500, 0.456], [0.000, 0.500, 0.705], [0.500, 0.500, 0.153], [0.500, 0.000, 0.379]],
  "formation_energy_uncorrected_ev_per_atom": -0.9539,
  "sg": "Amm2 (38)",
  "e_above_lowest_polymorph_mev_per_atom": 3
}

***

Record 6
{
  "formula": "Y5ZrHg6",
  "functional": "PBE",
  "state": "relaxed",
  "cell": [[5.118, -0.330, 0.842], [-0.020, 6.893, 2.826], [1.198, 0.361, 8.946]],
  "species": ["Hg", "Hg", "Y", "Hg", "Hg", "Hg", "Hg", "Y", "Y", "Y", "Zr", "Y"],
  "frac_coords": [[0.835, 0.583, 0.331], [0.835, 0.086, 0.331], [0.000, 0.500, 0.000], [0.500, 0.256, 0.000], [0.165, 0.417, 0.669], [0.165, 0.914, 0.669], [0.500, 0.744, 0.000], [0.330, 0.330, 0.341], [0.659, 0.160, 0.681], [0.670, 0.670, 0.659], [0.000, 0.000, 0.000], [0.341, 0.840, 0.319]],
  "sg": "Immm (71)",
  "e_form_ev_per_atom": -0.428
}

***

Record 7
{
  "formula": "ZrZnCoOs",
  "functional": "PBE",
  "state": "relaxed",
  "cell": [[4.407, 0.000, 0.000], [2.204, 3.817, 0.000], [2.204, 1.272, 3.599]],
  "species": ["Zr", "Os", "Zn", "Co"],
  "frac_coords": [[0.250, 0.250, 0.250], [0.000, 0.000, 0.000], [0.750, 0.750, 0.750], [0.500, 0.500, 0.500]],
  "sg": "F-43m (216)",
  "e_form_ev_per_atom": -0.089
}

***

Record 8
{
  "formula": "Tb5Ce2Tm2",
  "functional": "PBE",
  "state": "relaxed",
  "cell": [[5.315, 0.000, 1.616], [1.342, 6.954, 5.136], [0.254, 1.472, 8.712]],
  "species": ["Tb", "Tb", "Tb", "Ce", "Tb", "Tm", "Tm", "Ce", "Tb"],
  "frac_coords": [[0.793, 0.361, 0.052], [0.322, 0.004, 0.351], [0.207, 0.639, 0.948], [0.076, 0.333, 0.514], [0.678, 0.996, 0.649], [0.562, 0.651, 0.225], [0.438, 0.349, 0.775], [0.924, 0.667, 0.486], [0.000, 0.000, 0.000]],
  "sg": "C2/m (12)",
  "e_form_ev_per_atom": 0.114
}

***

Record 9
{
  "formula": "Hf3AlGe5",
  "functional": "PBE",
  "state": "relaxed",
  "cell": [[22.174, 0.027, 0.000], [-21.845, 3.810, 0.000], [0.000, 0.000, 3.803]],
  "species": ["Al", "Ge", "Ge", "Ge", "Ge", "Hf", "Hf", "Ge", "Ge", "Al", "Hf", "Ge", "Hf", "Ge", "Ge", "Ge", "Hf", "Hf"],
  "frac_coords": [[0.416, 0.584, 0.000], [0.250, 0.750, 0.500], [0.020, 0.980, 0.500], [0.917, 0.083, 0.500], [0.690, 0.310, 0.500], [0.200, 0.800, 0.000], [0.467, 0.533, 0.500], [0.083, 0.917, 0.000], [0.355, 0.645, 0.500], [0.750, 0.250, 0.000], [0.131, 0.869, 0.500], [0.647, 0.353, 0.000], [0.800, 0.200, 0.500], [0.977, 0.023, 0.000], [0.312, 0.688, 0.000], [0.583, 0.417, 0.500], [0.867, 0.133, 0.000], [0.535, 0.465, 0.000]],
  "sg": "Amm2 (38)",
  "e_form_ev_per_atom": -0.492
}

***

Record 10
{
  "formula": "Co2AgIr",
  "functional": "PBE",
  "state": "relaxed",
  "cell": [[8.971, 0.009, 0.006], [8.568, 2.661, 0.006], [8.568, 1.304, 2.319]],
  "species": ["Co", "Co", "Ir", "Ag"],
  "frac_coords": [[0.254, 0.254, 0.254], [0.992, 0.992, 0.992], [0.508, 0.508, 0.508], [0.746, 0.746, 0.746]],
  "sg": "R3m (160)",
  "e_form_ev_per_atom": 0.239
}

***

Record 11
{
  "formula": "TmPaAlZn",
  "functional": "PBE",
  "state": "relaxed",
  "cell": [[-2.712, -2.984, 2.979], [-1.907, -4.274, -1.798], [1.864, -4.405, 1.504]],
  "species": ["Al", "Tm", "Pa", "Zn"],
  "frac_coords": [[0.000, 0.000, 0.000], [0.250, 0.250, 0.250], [0.750, 0.750, 0.750], [0.500, 0.500, 0.500]],
  "sg": "F-43m (216)",
  "e_form_ev_per_atom": -0.110
}

***

Record 12
{
  "formula": "KTb2Cu2Se4",
  "functional": "PBE",
  "state": "relaxed",
  "cell": [[-2.938, -1.840, 1.605], [5.723, -0.400, 5.474], [-4.176, 6.588, -0.092]],
  "species": ["Cu", "K", "Se", "Se", "Se", "Tb", "Se", "Cu", "Tb"],
  "frac_coords": [[0.301, 0.601, 0.970], [0.000, 0.000, 0.000], [0.461, 0.923, 0.272], [0.219, 0.437, 0.267], [0.781, 0.563, 0.733], [0.875, 0.750, 0.440], [0.539, 0.077, 0.728], [0.699, 0.399, 0.030], [0.125, 0.250, 0.560]],
  "formation_energy_uncorrected_ev_per_atom": -1.0580,
  "sg": "C2/m (12)"
}

***

Record 13
{
  "formula": "Tl2ZnNiCl6",
  "functional": "PBE",
  "state": "relaxed",
  "cell": [[-3.332, -1.809, 5.880], [3.240, -3.944, 4.785], [3.979, 7.740, 8.798]],
  "species": ["Zn", "Cl", "Cl", "Cl", "Ni", "Cl", "Tl", "Cl", "Cl", "Tl", "Tl", "Cl", "Cl", "Cl", "Cl", "Zn", "Cl", "Tl", "Cl", "Ni"],
  "frac_coords": [[0.585, 0.585, 0.244], [0.384, 0.384, 0.374], [0.204, 0.204, 0.880], [0.857, 0.384, 0.374], [0.500, 0.500, 0.500], [0.287, 0.796, 0.120], [0.121, 0.121, 0.637], [0.713, 0.204, 0.880], [0.616, 0.616, 0.626], [0.879, 0.879, 0.363], [0.704, 0.704, 0.889], [0.384, 0.857, 0.374], [0.616, 0.143, 0.626], [0.204, 0.713, 0.880], [0.143, 0.616, 0.626], [0.415, 0.415, 0.756], [0.796, 0.287, 0.120], [0.296, 0.296, 0.111], [0.796, 0.796, 0.120], [0.000, 0.000, 0.000]],
  "formation_energy_uncorrected_ev_per_atom": -0.8755,
  "sg": "R-3m (166)"
}

***

Record 14
{
  "formula": "RbTiGa",
  "functional": "PBE",
  "state": "relaxed",
  "cell": [[4.625, -2.670, 0.000], [0.000, 5.341, 0.000], [0.000, 0.000, 5.969]],
  "species": ["Ti", "Rb", "Ga", "Ga", "Rb", "Ti"],
  "frac_coords": [[0.667, 0.333, 0.750], [0.000, 0.000, 0.000], [0.667, 0.333, 0.250], [0.333, 0.667, 0.750], [0.000, 0.000, 0.500], [0.333, 0.667, 0.250]],
  "sg": "P6_3/mmc (194)",
  "e_above_lowest_polymorph_mev_per_atom": 752,
  "e_form_ev_per_atom": 0.757
}

***

Record 15
{
  "formula": "MnCrIn2",
  "functional": "PBE",
  "state": "relaxed",
  "cell": [[4.812, 0.000, 0.000], [2.406, 4.168, 0.000], [2.406, 1.389, 3.929]],
  "species": ["In", "Cr", "In", "Mn"],
  "frac_coords": [[0.250, 0.250, 0.250], [0.500, 0.500, 0.500], [0.000, 0.000, 0.000], [0.750, 0.750, 0.750]],
  "sg": "F-43m (216)",
  "e_above_lowest_polymorph_mev_per_atom": 350,
  "e_form_ev_per_atom": 0.585
}

***

Record 16
{
  "formula": "Pm4TcI2Cl",
  "functional": "PBE",
  "state": "relaxed",
  "cell": [[4.136, 0.000, 0.000], [0.000, 7.608, 0.299], [0.000, -2.500, 7.855]],
  "species": ["Cl", "I", "Pm", "Pm", "Tc", "Pm", "Pm", "I"],
  "frac_coords": [[0.000, 0.000, 0.000], [0.500, 0.000, 0.500], [0.000, 0.705, 0.191], [0.500, 0.735, 0.808], [0.500, 0.500, 0.000], [0.500, 0.265, 0.192], [0.000, 0.295, 0.809], [0.000, 0.500, 0.500]],
  "formation_energy_uncorrected_ev_per_atom": -0.7625,
  "sg": "P2/m (10)"
}

***

Record 17
{
  "formula": "La2Al4CuPd3",
  "functional": "PBE",
  "state": "relaxed",
  "cell": [[-0.014, 3.323, -2.936], [-0.956, -2.870, -3.243], [-9.838, 1.416, 1.648]],
  "species": ["Cu", "Pd", "Pd", "Al", "Pd", "La", "La", "Al", "Al", "Al"],
  "frac_coords": [[0.500, 0.500, 0.500], [0.000, 0.000, 0.500], [0.500, 0.000, 0.870], [0.000, 0.000, 0.000], [0.000, 0.500, 0.130], [0.000, 0.500, 0.746], [0.500, 0.000, 0.254], [0.000, 0.500, 0.381], [0.500, 0.500, 0.000], [0.500, 0.000, 0.619]],
  "sg": "P-4m2 (115)",
  "e_form_ev_per_atom": -0.748
}

***

Record 18
{
  "formula": "MnRhCl",
  "functional": "PBE",
  "state": "relaxed",
  "cell": [[4.228, 0.000, 0.000], [-2.114, 3.662, 0.000], [0.000, 0.000, 3.072]],
  "species": ["Rh", "Mn", "Cl"],
  "frac_coords": [[0.333, 0.667, 0.831], [0.667, 0.333, 0.332], [0.000, 0.000, 0.837]],
  "formation_energy_uncorrected_ev_per_atom": 0.2644,
  "sg": "P3m1 (156)",
  "e_above_lowest_polymorph_mev_per_atom": 243
}

***

Record 19
{
  "formula": "Nd3HPb",
  "functional": "PBE",
  "state": "relaxed",
  "cell": [[6.819, 0.000, 0.000], [0.000, 8.586, 1.081], [0.000, -2.008, 8.555]],
  "species": ["Nd", "H", "H", "Nd", "Pb", "H", "Nd", "Nd", "Nd", "Nd", "Pb", "Nd", "H", "Nd", "Nd", "Pb", "Nd", "Nd", "Nd", "Pb"],
  "frac_coords": [[0.750, 0.438, 0.820], [0.750, 0.984, 0.063], [0.250, 0.016, 0.937], [0.750, 0.938, 0.320], [0.250, 0.459, 0.797], [0.750, 0.484, 0.563], [0.002, 0.303, 0.448], [0.250, 0.562, 0.180], [0.998, 0.197, 0.052], [0.498, 0.803, 0.948], [0.750, 0.041, 0.703], [0.498, 0.303, 0.448], [0.250, 0.516, 0.437], [0.250, 0.062, 0.680], [0.998, 0.697, 0.552], [0.750, 0.541, 0.203], [0.002, 0.803, 0.948], [0.502, 0.697, 0.552], [0.502, 0.197, 0.052], [0.250, 0.959, 0.297]],
  "sg": "P2_1/m (11)",
  "e_above_lowest_polymorph_mev_per_atom": 40
}

***

Record 20
{
  "formula": "NaAgO2",
  "functional": "PBE",
  "state": "relaxed",
  "cell": [[-0.417, 0.350, 4.763], [2.659, -3.955, 0.523], [5.808, 1.372, 2.821]],
  "species": ["O", "O", "O", "Na", "Ag", "O", "Na", "Ag"],
  "frac_coords": [[0.680, 0.125, 0.250], [0.070, 0.625, 0.250], [0.375, 0.320, 0.750], [0.250, 0.750, 0.500], [0.000, 0.000, 0.000], [0.875, 0.930, 0.750], [0.500, 0.500, 0.000], [0.750, 0.250, 0.500]],
  "formation_energy_uncorrected_ev_per_atom": -0.3352,
  "sg": "I-42d (122)"
}

***

Number 1: theoretical density 4.0 g/cm³, final energy -46.600 eV per cell. Number 2: theoretical density 2.7 g/cm³, final energy -8.581 eV per cell. Number 3: theoretical density 8.4 g/cm³, final energy -58.412 eV per cell. Number 4: theoretical density 10.3 g/cm³, final energy -48.374 eV per cell. Number 5: theoretical density 4.6 g/cm³, final energy -44.753 eV per cell. Number 6: theoretical density 9.6 g/cm³, final energy -47.814 eV per cell. Number 7: theoretical density 11.1 g/cm³, final energy -28.513 eV per cell. Number 8: theoretical density 8.3 g/cm³, final energy -42.938 eV per cell. Number 9: theoretical density 9.5 g/cm³, final energy -122.237 eV per cell. Number 10: theoretical density 12.6 g/cm³, final energy -24.970 eV per cell. Number 11: theoretical density 9.2 g/cm³, final energy -19.425 eV per cell. Number 12: theoretical density 6.5 g/cm³, final energy -42.011 eV per cell. Number 13: theoretical density 5.0 g/cm³, final energy -63.245 eV per cell. Number 14: theoretical density 4.6 g/cm³, final energy -19.239 eV per cell. Number 15: theoretical density 7.1 g/cm³, final energy -21.930 eV per cell. Number 16: theoretical density 6.4 g/cm³, final energy -40.415 eV per cell. Number 17: theoretical density 6.4 g/cm³, final energy -51.982 eV per cell. Number 18: theoretical density 6.7 g/cm³, final energy -17.574 eV per cell. Number 19: theoretical density 8.3 g/cm³, final energy -93.036 eV per cell. Number 20: theoretical density 4.2 g/cm³, final energy -30.855 eV per cell.